No. 1
Computed, not measured: an optimized crystal structure of Li2LaZnN at the PBE-GGA level of DFT.

```
Li2LaZnN
1.0
4.434 0.000 0.000
0.000 4.434 0.000
0.000 0.000 4.879
Li Zn N La
2 1 1 1
Direct
0.500 0.000 0.000
0.000 0.500 0.000
0.500 0.500 0.500
0.000 0.000 0.000
0.000 0.000 0.500
```

total energy = -19.9 eV/cell
formation energy from raw total energies = -0.317 eV per atom
DOS at the Fermi energy = 3.0 states/eV/f.u.

No. 2
Computed, not measured: an optimized crystal structure of KScIr2 at the PBE-GGA level of DFT.

```
KScIr2
1.0
4.712 -0.009 0.000
0.012 4.712 0.000
-2.362 -2.351 3.331
K Sc Ir
1 1 2
Direct
0.500 0.500 0.000
0.750 0.250 0.500
0.000 0.000 0.000
0.250 0.750 0.500
```

energy relative to the lowest polymorph listed for this composition = 0.554 eV per atom
ΔE_f = 202 kJ/mol of formula units
total energy = -23.1 eV/cell
DOS at the Fermi energy = 5.0 states/eV/f.u.

No. 3
Computed, not measured: an optimized crystal structure of BaP2BrO at the PBE-GGA level of DFT.

```
BaP2BrO
1.0
4.956 0.000 0.000
0.000 4.956 0.000
0.000 0.000 4.638
O P Br Ba
1 2 1 1
Direct
0.000 0.000 0.500
0.500 0.000 0.000
0.000 0.500 0.000
0.000 0.000 0.000
0.500 0.500 0.500
```

energy relative to the lowest polymorph listed for this composition = 0.000 eV per atom
total energy = -18.1 eV/cell
formation energy from raw total energies = 0.263 eV per atom
DOS at the Fermi energy = 5.9 states/eV/f.u.

No. 4
Computed, not measured: an optimized crystal structure of TiB2H8 at the PBE-GGA level of DFT.

```
TiB2H8
1.0
-1.850 4.257 3.422
2.410 -0.347 6.593
5.303 3.713 3.107
B H Ti
4 16 2
Direct
0.338 0.365 0.422
0.125 0.135 0.078
0.662 0.635 0.578
0.875 0.865 0.922
0.726 0.920 0.074
0.875 0.071 0.710
0.892 0.222 0.055
0.280 0.420 0.574
0.208 0.255 0.093
0.444 0.755 0.593
0.831 0.722 0.555
0.556 0.245 0.407
0.108 0.778 0.945
0.344 0.571 0.210
0.656 0.429 0.790
0.274 0.080 0.926
0.169 0.278 0.445
0.792 0.745 0.907
0.125 0.929 0.290
0.720 0.580 0.426
0.000 0.250 0.750
0.000 0.750 0.250
```

total energy = -98.9 eV/cell
DOS at the Fermi energy = 0.9 states/eV/f.u.